# 1
## ZrTcN2F (PBE)

Data for a relaxed structure of ZrTcN2F.

```
data_ZrTcN2F
_cell_length_a 4.284
_cell_length_b 4.284
_cell_length_c 4.066
_cell_angle_alpha 90.00
_cell_angle_beta 90.00
_cell_angle_gamma 90.00
_symmetry_space_group_name_H-M 'P 4/m m m'
_symmetry_Int_Tables_number 123
_symmetry_space_group_name_Hall '-P 4 2'
loop_
_atom_site_label
_atom_site_type_symbol
_atom_site_fract_x
_atom_site_fract_y
_atom_site_fract_z
Zr1 Zr 0.000 0.000 0.000
Tc1 Tc 0.500 0.500 0.500
N1 N 0.000 0.500 0.000
F1 F 0.000 0.000 0.500
```

Computed properties:
Its density of states at the Fermi level is 1.8 states/eV per cell. The calculation puts the formation energy from raw total energies at -0.04 eV/atom. Its energy above the most stable polymorph in this dataset is 119 kJ/mol of formula units.

***

# 2
## Ta2InSi (PBE)

Data for a relaxed structure of Ta2InSi.

```
data_Ta2InSi
_cell_length_a 5.825
_cell_length_b 8.371
_cell_length_c 2.907
_cell_angle_alpha 90.00
_cell_angle_beta 90.00
_cell_angle_gamma 90.00
_symmetry_space_group_name_H-M 'C m m m'
_symmetry_Int_Tables_number 65
_symmetry_space_group_name_Hall '-C 2 2'
loop_
_atom_site_label
_atom_site_type_symbol
_atom_site_fract_x
_atom_site_fract_y
_atom_site_fract_z
Ta1 Ta 0.250 0.250 0.000
In1 In 0.000 0.000 0.500
Si1 Si 0.000 0.500 0.500
```

Computed properties:
Its density of states at the Fermi level is 3.8 states/eV per cell. The calculation puts the formation energy from raw total energies at 0.21 eV/atom.